{
  "formula": "Zr2GaNi2Bi",
  "functional": "PBE",
  "state": "relaxed",
  "total_energy_ev_per_cell": -77.2,
  "cell": [[4.324, -6.095, 0.000], [4.324, 6.095, 0.000], [-4.324, 0.000, 4.324]],
  "species": ["Zr", "Zr", "Zr", "Zr", "Ga", "Ga", "Bi", "Bi", "Ni", "Ni", "Ni", "Ni"],
  "fractional_positions": [[0.492, 0.508, 0.500], [0.242, 0.758, 0.000], [0.008, 0.992, 0.500], [0.758, 0.242, 0.000], [0.250, 0.750, 0.500], [0.000, 0.000, 0.000], [0.500, 0.500, 0.000], [0.750, 0.250, 0.500], [0.365, 0.115, 0.990], [0.125, 0.375, 0.490], [0.885, 0.635, 0.010], [0.625, 0.875, 0.510]]
}

***

{
  "formula": "CsAgTe2MoS",
  "functional": "PBE",
  "state": "relaxed",
  "total_energy_ev_per_cell": -52.8,
  "cell": [[-4.991, 6.736, -2.964], [4.128, -4.559, 6.422], [8.385, 5.586, -1.424]],
  "species": ["Ag", "Ag", "Mo", "Mo", "Te", "Te", "Te", "Te", "S", "S", "Cs", "Cs"],
  "fractional_positions": [[0.468, 0.532, 0.750], [0.532, 0.468, 0.250], [0.000, 0.000, 0.000], [0.000, 0.000, 0.500], [0.389, 0.611, 0.979], [0.389, 0.611, 0.521], [0.611, 0.389, 0.021], [0.611, 0.389, 0.479], [0.950, 0.050, 0.250], [0.050, 0.950, 0.750], [0.756, 0.244, 0.750], [0.244, 0.756, 0.250]]
}

***

{
  "formula": "DyErTm2C3",
  "functional": "PBE",
  "state": "relaxed",
  "total_energy_ev_per_cell": -47.6,
  "cell": [[6.424, -1.828, 0.000], [6.424, 1.828, 0.000], [-2.568, 0.000, 5.450]],
  "species": ["Er", "Dy", "Tm", "Tm", "C", "C", "C"],
  "fractional_positions": [[0.636, 0.636, 0.994], [0.364, 0.364, 0.006], [0.133, 0.133, 0.445], [0.866, 0.866, 0.554], [0.001, 0.001, 0.000], [0.279, 0.279, 0.293], [0.720, 0.720, 0.707]]
}

***

{
  "formula": "Sc4InNiN2",
  "functional": "PBE",
  "state": "relaxed",
  "total_energy_ev_per_cell": -58.9,
  "cell": [[-0.752, 1.702, 2.637], [-0.606, -3.168, -0.103], [12.652, -2.592, 5.281]],
  "species": ["N", "N", "Sc", "Sc", "Sc", "Sc", "In", "Ni"],
  "fractional_positions": [[0.667, 0.333, 0.764], [0.667, 0.333, 0.236], [0.333, 0.667, 0.683], [0.000, 0.000, 0.862], [0.000, 0.000, 0.138], [0.333, 0.667, 0.317], [0.000, 0.000, 0.500], [0.333, 0.667, 0.000]]
}

***

| no. | size of the total moment (μB/f.u.) |
| --- | --- |
| 1 | 0.00 |
| 2 | 2.01 |
| 3 | 0.00 |
| 4 | 0.05 |